(1)
First-principles (GGA-PBE) data for a geometry-optimized AcZn2 structure, as listed in Alexandria via LeMat-Bulk. Values from VASP.

Quantum ESPRESSO input file:
```
&SYSTEM
  ibrav = 0, nat = 6, ntyp = 2
/
ATOMIC_SPECIES
Zn 65.41 Zn.upf
Ac 227.00 Ac.upf
ATOMIC_POSITIONS crystal
Zn 0.166 0.277 0.892
Zn 0.166 0.892 0.277
Ac 0.463 0.287 0.287
Ac 0.537 0.713 0.713
Zn 0.834 0.723 0.108
Zn 0.834 0.108 0.723
CELL_PARAMETERS angstrom
-2.750 -2.226 -3.220
2.889 -4.422 -2.964
-2.935 -4.790 2.265
```

Results
Relative energy among the computed polymorphs = 0.0 meV/atom
Energy relative to the elements = -0.302 eV/atom
N(E_F) = 2.7 states/eV/f.u.
Total magnetization = 0.000 Bohr magnetons per cell
Symmetry = Imma (74)
E = -15.13 eV per cell



(2)
First-principles (GGA-PBE) data for a geometry-optimized AcZn3 structure, as listed in Alexandria via LeMat-Bulk. Values from VASP.

Quantum ESPRESSO input file:
```
&SYSTEM
  ibrav = 0, nat = 8, ntyp = 2
/
ATOMIC_SPECIES
Zn 65.41 Zn.upf
Ac 227.00 Ac.upf
ATOMIC_POSITIONS crystal
Zn 0.263 0.131 0.750
Zn 0.131 0.869 0.250
Ac 0.667 0.333 0.250
Zn 0.131 0.263 0.250
Zn 0.869 0.737 0.750
Ac 0.333 0.667 0.750
Zn 0.737 0.869 0.250
Zn 0.869 0.131 0.750
CELL_PARAMETERS angstrom
3.491 -6.047 0.000
3.491 6.047 0.000
0.000 0.000 4.411
```

Results
Energy relative to the elements = -0.242 eV/atom
N(E_F) = 3.3 states/eV/f.u.
Total magnetization = 0.000 Bohr magnetons per cell
Symmetry = P6_3/mmc (194)
E = -17.80 eV per cell



(3)
First-principles (GGA-PBE) data for a geometry-optimized AcZn3 structure, as listed in Alexandria via LeMat-Bulk. Values from VASP.

Quantum ESPRESSO input file:
```
&SYSTEM
  ibrav = 0, nat = 8, ntyp = 2
/
ATOMIC_SPECIES
Zn 65.41 Zn.upf
Ac 227.00 Ac.upf
ATOMIC_POSITIONS crystal
Zn 0.118 0.235 0.937
Zn 0.882 0.765 0.437
Ac 0.600 0.201 0.250
Zn 0.704 0.408 0.750
Zn 0.296 0.592 0.250
Zn 0.118 0.235 0.563
Zn 0.882 0.765 0.063
Ac 0.400 0.799 0.750
CELL_PARAMETERS angstrom
-3.579 -1.226 2.984
4.839 -3.384 0.524
2.465 4.252 4.703
```

Results
Energy relative to the elements = -0.266 eV/atom
N(E_F) = 3.9 states/eV/f.u.
Total magnetization = 0.000 Bohr magnetons per cell
Symmetry = Cmcm (63)
E = -17.99 eV per cell



(4)
First-principles (GGA-PBE) data for a geometry-optimized AcZn4 structure, as listed in Alexandria via LeMat-Bulk. Values from VASP.

Quantum ESPRESSO input file:
```
&SYSTEM
  ibrav = 0, nat = 5, ntyp = 2
/
ATOMIC_SPECIES
Zn 65.41 Zn.upf
Ac 227.00 Ac.upf
ATOMIC_POSITIONS crystal
Zn 0.878 0.378 0.255
Zn 0.122 0.622 0.745
Zn 0.750 0.750 0.000
Ac 0.500 0.000 0.500
Zn 0.250 0.250 0.000
CELL_PARAMETERS angstrom
-3.618 0.778 2.573
1.477 -3.024 2.998
3.646 4.854 -0.291
```

Results
Relative energy among the computed polymorphs = 0.0 meV/atom
Energy relative to the elements = -0.286 eV/atom
N(E_F) = 4.8 states/eV/f.u.
Total magnetization = 0.000 Bohr magnetons per cell
Symmetry = I4/mmm (139)
E = -10.64 eV per cell



(5)
First-principles (GGA-PBE) data for a geometry-optimized AcZn5 structure, as listed in Alexandria via LeMat-Bulk. Values from VASP.

Quantum ESPRESSO input file:
```
&SYSTEM
  ibrav = 0, nat = 6, ntyp = 2
/
ATOMIC_SPECIES
Zn 65.41 Zn.upf
Ac 227.00 Ac.upf
ATOMIC_POSITIONS crystal
Zn 0.500 0.773 0.546
Zn 0.500 0.500 0.000
Zn 0.000 0.675 0.349
Zn 0.500 0.227 0.454
Ac 0.000 0.000 0.000
Zn 0.000 0.325 0.651
CELL_PARAMETERS angstrom
-4.575 -0.562 -0.693
0.205 -4.665 2.427
-1.066 4.627 3.278
```

Results
Energy relative to the elements = -0.068 eV/atom
N(E_F) = 2.7 states/eV/f.u.
Total magnetization = 0.000 Bohr magnetons per cell
Symmetry = Cmmm (65)
E = -10.89 eV per cell



(6)
First-principles (GGA-PBE) data for a geometry-optimized AcZn3 structure, as listed in Alexandria via LeMat-Bulk. Values from VASP.

Quantum ESPRESSO input file:
```
&SYSTEM
  ibrav = 0, nat = 4, ntyp = 2
/
ATOMIC_SPECIES
Zn 65.41 Zn.upf
Ac 227.00 Ac.upf
ATOMIC_POSITIONS crystal
Zn 0.500 0.500 0.000
Ac 0.000 0.000 0.000
Zn 0.716 0.716 0.433
Zn 0.284 0.284 0.567
CELL_PARAMETERS angstrom
4.340 0.000 0.000
0.000 4.340 0.000
-2.170 -2.170 5.743
```

Results
Energy relative to the elements = 0.200 eV/atom
N(E_F) = 5.4 states/eV/f.u.
Total magnetization = 0.001 Bohr magnetons per cell
Symmetry = I4/mmm (139)
E = -7.13 eV per cell



(7)
First-principles (GGA-PBE) data for a geometry-optimized Ac5Zn6 structure, as listed in Alexandria via LeMat-Bulk. Values from VASP.

Quantum ESPRESSO input file:
```
&SYSTEM
  ibrav = 0, nat = 11, ntyp = 2
/
ATOMIC_SPECIES
Ac 227.00 Ac.upf
Zn 65.41 Zn.upf
ATOMIC_POSITIONS crystal
Ac 0.673 0.673 0.347
Zn 0.827 0.088 0.654
Zn 0.173 0.912 0.346
Zn 0.827 0.567 0.654
Ac 0.000 0.500 0.000
Ac 0.645 0.145 0.289
Ac 0.327 0.327 0.653
Zn 0.500 0.717 0.000
Zn 0.500 0.283 0.000
Zn 0.173 0.433 0.346
Ac 0.355 0.855 0.711
CELL_PARAMETERS angstrom
5.183 0.005 -1.604
-0.906 7.229 -2.899
0.094 -0.440 9.475
```

Results
Energy relative to the elements = -0.118 eV/atom
N(E_F) = 8.6 states/eV/f.u.
Total magnetization = 0.000 Bohr magnetons per cell
Symmetry = Immm (71)
E = -29.48 eV per cell



(8)
First-principles (GGA-PBE) data for a geometry-optimized Ac4Zn structure, as listed in Alexandria via LeMat-Bulk. Values from VASP.

Quantum ESPRESSO input file:
```
&SYSTEM
  ibrav = 0, nat = 10, ntyp = 2
/
ATOMIC_SPECIES
Ac 227.00 Ac.upf
Zn 65.41 Zn.upf
ATOMIC_POSITIONS crystal
Ac 0.586 0.332 0.163
Ac 0.414 0.668 0.837
Ac 0.750 0.832 0.837
Ac 0.332 0.348 0.641
Ac 0.027 0.152 0.641
Ac 0.250 0.168 0.163
Ac 0.668 0.652 0.359
Zn 0.000 0.250 0.000
Zn 0.000 0.750 0.000
Ac 0.973 0.848 0.359
CELL_PARAMETERS angstrom
-4.165 -8.934 0.482
0.918 -5.057 4.111
-7.856 -1.509 5.170
```

Results
Relative energy among the computed polymorphs = 0.0 meV/atom
Energy relative to the elements = -0.028 eV/atom
N(E_F) = 7.3 states/eV/f.u.
Total magnetization = 0.000 Bohr magnetons per cell
Symmetry = Ibam (72)
E = -35.70 eV per cell



(9)
First-principles (GGA-PBE) data for a geometry-optimized AcZn2 structure, as listed in Alexandria via LeMat-Bulk. Values from VASP.

Quantum ESPRESSO input file:
```
&SYSTEM
  ibrav = 0, nat = 3, ntyp = 2
/
ATOMIC_SPECIES
Zn 65.41 Zn.upf
Ac 227.00 Ac.upf
ATOMIC_POSITIONS crystal
Zn 0.694 0.694 0.388
Ac 0.000 0.000 0.000
Zn 0.306 0.306 0.612
CELL_PARAMETERS angstrom
3.724 0.000 0.000
0.000 3.724 0.000
-1.862 -1.862 5.467
```

Results
Relative energy among the computed polymorphs = 205.9 meV/atom
Energy relative to the elements = -0.096 eV/atom
N(E_F) = 2.6 states/eV/f.u.
Total magnetization = 0.000 Bohr magnetons per cell
Symmetry = I4/mmm (139)
E = -6.95 eV per cell



(10)
First-principles (GGA-PBE) data for a geometry-optimized Ac3Zn8 structure, as listed in Alexandria via LeMat-Bulk. Values from VASP.

Quantum ESPRESSO input file:
```
&SYSTEM
  ibrav = 0, nat = 11, ntyp = 2
/
ATOMIC_SPECIES
Zn 65.41 Zn.upf
Ac 227.00 Ac.upf
ATOMIC_POSITIONS crystal
Zn 0.751 0.751 0.501
Zn 0.302 0.802 0.604
Zn 0.400 0.900 0.801
Zn 0.450 0.450 0.899
Zn 0.550 0.550 0.101
Zn 0.600 0.100 0.199
Ac 0.000 0.000 0.000
Zn 0.249 0.249 0.499
Ac 0.847 0.347 0.695
Ac 0.153 0.653 0.305
Zn 0.698 0.198 0.396
CELL_PARAMETERS angstrom
4.367 0.000 -0.653
-0.108 4.421 -0.719
-0.197 -0.060 13.609
```

Results
Energy relative to the elements = -0.286 eV/atom
N(E_F) = 11.8 states/eV/f.u.
Total magnetization = 0.006 Bohr magnetons per cell
Symmetry = Immm (71)
E = -25.66 eV per cell



(11)
First-principles (GGA-PBE) data for a geometry-optimized Ac5Zn3 structure, as listed in Alexandria via LeMat-Bulk. Values from VASP.

Quantum ESPRESSO input file:
```
&SYSTEM
  ibrav = 0, nat = 8, ntyp = 2
/
ATOMIC_SPECIES
Zn 65.41 Zn.upf
Ac 227.00 Ac.upf
ATOMIC_POSITIONS crystal
Zn 0.000 0.000 0.500
Ac 0.500 0.500 0.609
Zn 0.500 0.500 0.112
Ac 0.500 0.500 0.391
Ac 0.000 0.000 0.780
Ac 0.000 0.000 0.220
Ac 0.000 0.000 0.000
Zn 0.500 0.500 0.888
CELL_PARAMETERS angstrom
3.947 0.000 0.000
0.000 3.947 0.000
0.000 0.000 17.408
```

Results
Energy relative to the elements = -0.179 eV/atom
N(E_F) = 9.8 states/eV/f.u.
Total magnetization = 0.000 Bohr magnetons per cell
Symmetry = P4/mmm (123)
E = -25.79 eV per cell



(12)
First-principles (GGA-PBE) data for a geometry-optimized AcZn13 structure, as listed in Alexandria via LeMat-Bulk. Values from VASP.

Quantum ESPRESSO input file:
```
&SYSTEM
  ibrav = 0, nat = 28, ntyp = 2
/
ATOMIC_SPECIES
Zn 65.41 Zn.upf
Ac 227.00 Ac.upf
ATOMIC_POSITIONS crystal
Zn 0.800 0.558 0.442
Zn 0.058 0.700 0.300
Ac 0.250 0.250 0.250
Zn 0.300 0.700 0.942
Zn 0.700 0.942 0.300
Zn 0.558 0.442 0.800
Zn 0.558 0.200 0.442
Zn 0.800 0.442 0.200
Zn 0.300 0.058 0.700
Zn 0.942 0.700 0.058
Zn 0.200 0.800 0.442
Zn 0.300 0.942 0.058
Zn 0.942 0.300 0.700
Zn 0.058 0.300 0.942
Zn 0.700 0.300 0.058
Zn 0.200 0.558 0.800
Zn 0.442 0.558 0.200
Zn 0.442 0.800 0.558
Zn 0.800 0.200 0.558
Zn 0.200 0.442 0.558
Zn 0.942 0.058 0.300
Zn 0.558 0.800 0.200
Ac 0.750 0.750 0.750
Zn 0.700 0.058 0.942
Zn 0.058 0.942 0.700
Zn 0.500 0.500 0.500
Zn 0.000 0.000 0.000
Zn 0.442 0.200 0.800
CELL_PARAMETERS angstrom
7.527 0.000 4.346
2.509 7.097 4.346
0.000 0.000 8.692
```

Results
Energy relative to the elements = -0.187 eV/atom
N(E_F) = 5.0 states/eV/f.u.
Total magnetization = 0.000 Bohr magnetons per cell
Symmetry = Fm-3c (226)
E = -46.58 eV per cell